1.
Computed, not measured: an optimized crystal structure of TaSi2Se at the PBE level of DFT.

For the density of states at the Fermi level, the calculation gives 0.70 states/eV/atom. Its formation energy without anion corrections is -0.022 eV/atom. The size of the total moment is 0.0 Bohr magnetons per cell.

The structure belongs to space group P4mm (No. 99); the cell edges are 3.233, 3.233 and 7.150 Å and the angles 90.00°, 90.00° and 90.00°. The inequivalent atoms are Ta at (0.000, 0.000, 0.000), Si at (0.000, 0.000, 0.624), Si at (0.500, 0.500, 0.777) and Se at (0.500, 0.500, 0.205).


2.
Computed, not measured: an optimized crystal structure of AcPrAl3 at the PBE level of DFT.

For the density of states at the Fermi level, the calculation gives 1.01 states/eV/atom. Its formation enthalpy at 0 K is -0.38 eV/atom. The size of the total moment is 0.0 Bohr magnetons per cell.

The structure belongs to space group Cmcm (No. 63); the cell edges are 4.645, 27.309 and 4.447 Å and the angles 90.00°, 90.00° and 90.00°. The inequivalent atoms are Ac at (0.000, 0.074, 0.250), Pr at (0.000, 0.204, 0.750), Al at (0.000, 0.326, 0.750), Al at (0.000, 0.379, 0.250) and Al at (0.000, 0.476, 0.250).


3.
Computed, not measured: an optimized crystal structure of Ba8IrAu3I4 at the PBE level of DFT.

For the density of states at the Fermi level, the calculation gives 0.81 states/eV/atom. Its formation energy without anion corrections is -1.000 eV/atom. The size of the total moment is 0.0 Bohr magnetons per cell.

The structure belongs to space group R-3m (No. 166, hexagonal axes); the cell edges are 9.4231, 9.4231 and 26.3632 Å and the angles 90.00°, 90.00° and 120.00°. The inequivalent atoms are Ba at (0.0000, 0.0000, 0.2370), Ba at (0.0185, 0.5092, 0.2343), Ir at (0.0000, 0.0000, 0.5000), Au at (0.0000, 0.5000, 0.5000), I at (0.0000, 0.0000, 0.0000) and I at (0.0000, 0.5000, 0.0000).


4.
Computed, not measured: an optimized crystal structure of LaTcTe2 at the PBE level of DFT.

For the density of states at the Fermi level, the calculation gives 0.57 states/eV/atom. For the distance to the lowest polymorph of the same formula, the calculation gives 58 meV per atom. Its formation energy without anion corrections is -0.737 eV/atom. The size of the total moment is 0.0 Bohr magnetons per cell.

The structure belongs to space group Cm (No. 8); the cell edges are 16.232, 4.101 and 7.707 Å and the angles 90.00°, 101.07° and 90.00°. The inequivalent atoms are La at (0.000, 0.000, 0.000), La at (0.173, 0.000, 0.588), Tc at (0.199, 0.500, 0.965), Tc at (0.286, 0.000, 0.965), Te at (0.046, 0.500, 0.717), Te at (0.119, 0.500, 0.246), Te at (0.323, 0.500, 0.739) and Te at (0.349, 0.500, 0.211).


5.
Computed, not measured: an optimized crystal structure of NbCd2IrO6 at the PBE level of DFT.

For the density of states at the Fermi level, the calculation gives 0.33 states/eV/atom. Its formation energy without anion corrections is -1.208 eV/atom. The size of the total moment is 0.0 Bohr magnetons per cell.

The structure belongs to space group P4mm (No. 99); the cell edges are 5.625, 5.625 and 4.048 Å and the angles 90.00°, 90.00° and 90.00°. The inequivalent atoms are Nb at (0.000, 0.000, 0.000), Cd at (0.000, 0.500, 0.453), Ir at (0.500, 0.500, 0.020), O at (0.000, 0.000, 0.519), O at (0.250, 0.250, 0.030) and O at (0.500, 0.500, 0.520).


6.
Computed, not measured: an optimized crystal structure of Na2CaGe2 at the PBE level of DFT.

For the density of states at the Fermi level, the calculation gives 0.43 states/eV/atom. Its formation enthalpy at 0 K is -0.16 eV/atom. For the distance to the lowest polymorph of the same formula, the calculation gives 105 meV per atom. The size of the total moment is 0.0 Bohr magnetons per cell.

The structure belongs to space group P4/mbm (No. 127); the cell edges are 7.630, 7.630 and 4.708 Å and the angles 90.00°, 90.00° and 90.00°. The inequivalent atoms are Na at (0.169, 0.331, 0.000), Ca at (0.000, 0.000, 0.500) and Ge at (0.111, 0.611, 0.500).


7.
Computed, not measured: an optimized crystal structure of LiLa2Si2 at the PBE level of DFT.

For the density of states at the Fermi level, the calculation gives 1.06 states/eV/atom. Its formation energy without anion corrections is -0.147 eV/atom. The size of the total moment is 0.4 Bohr magnetons per cell.

The structure belongs to space group I4/mmm (No. 139); the cell edges are 6.006, 6.006 and 7.438 Å and the angles 90.00°, 90.00° and 90.00°. The inequivalent atoms are Li at (0.000, 0.000, 0.000), La at (0.000, 0.500, 0.250) and Si at (0.000, 0.000, 0.342).


8.
Computed, not measured: an optimized crystal structure of TcPdAu3 at the PBE level of DFT.

For the density of states at the Fermi level, the calculation gives 1.50 states/eV/atom. Its formation enthalpy at 0 K is 1.36 eV/atom. For the distance to the lowest polymorph of the same formula, the calculation gives 36 meV per atom. The size of the total moment is 0.0 Bohr magnetons per cell.

The structure belongs to space group Pm-3m (No. 221); the cell edges are 4.960, 4.960 and 4.960 Å and the angles 90.00°, 90.00° and 90.00°. The inequivalent atoms are Tc at (0.000, 0.000, 0.000), Pd at (0.500, 0.500, 0.500) and Au at (0.000, 0.000, 0.500).


9.
Computed, not measured: an optimized crystal structure of Re2AuSe at the PBE level of DFT.

For the density of states at the Fermi level, the calculation gives 0.71 states/eV/atom. Its formation energy without anion corrections is 0.505 eV/atom. The size of the total moment is 0.0 Bohr magnetons per cell.

The structure belongs to space group Pmm2 (No. 25); the cell edges are 2.887, 3.829 and 6.397 Å and the angles 90.00°, 90.00° and 90.00°. The inequivalent atoms are Re at (0.000, 0.000, 0.000), Re at (0.500, 0.500, 0.177), Au at (0.500, 0.500, 0.742) and Se at (0.000, 0.000, 0.395).


10.
Computed, not measured: an optimized crystal structure of SrPuS2F at the PBE level of DFT.

For the density of states at the Fermi level, the calculation gives 1.64 states/eV/atom. Its formation energy without anion corrections is -2.404 eV/atom. The size of the total moment is 10.0 Bohr magnetons per cell.

The structure belongs to space group P4/nmm (No. 129, origin choice 2); the cell edges are 3.998, 3.998 and 13.897 Å and the angles 90.00°, 90.00° and 90.00°. The inequivalent atoms are Sr at (0.250, 0.250, 0.107), Pu at (0.250, 0.250, 0.612), S at (0.250, 0.250, 0.409), S at (0.250, 0.250, 0.796) and F at (0.250, 0.750, 0.000).


11.
Computed, not measured: an optimized crystal structure of SrSc2Fe at the PBE level of DFT.

For the density of states at the Fermi level, the calculation gives 1.01 states/eV/atom. Its formation enthalpy at 0 K is 0.28 eV/atom. For the distance to the lowest polymorph of the same formula, the calculation gives 180 meV per atom. The size of the total moment is 0.0 Bohr magnetons per cell.

The structure belongs to space group Cm (No. 8); the cell edges are 9.068, 3.419 and 7.379 Å and the angles 90.00°, 109.11° and 90.00°. The inequivalent atoms are Sr at (0.000, 0.000, 0.000), Sc at (0.163, 0.000, 0.619), Sc at (0.367, 0.000, 0.357) and Fe at (0.146, 0.500, 0.368).


12.
Computed, not measured: an optimized crystal structure of Tb5CePm2Er at the PBE level of DFT.

For the density of states at the Fermi level, the calculation gives 1.85 states/eV/atom. Its formation enthalpy at 0 K is 0.17 eV/atom. The size of the total moment is 3.3 Bohr magnetons per cell.

The structure belongs to space group Cmc2_1 (No. 36); the cell edges are 5.642, 20.609 and 10.216 Å and the angles 90.00°, 90.00° and 90.00°. The inequivalent atoms are Tb at (0.000, 0.015, 0.000), Tb at (0.000, 0.273, 0.300), Tb at (0.000, 0.301, 0.687), Tb at (0.000, 0.388, 0.011), Tb at (0.000, 0.478, 0.724), Ce at (0.000, 0.197, 0.997), Pm at (0.000, 0.114, 0.303), Pm at (0.000, 0.119, 0.710) and Er at (0.000, 0.407, 0.431).


Number 9 is which compound?
Re2AuSe


Copy entry 9 word for word.
Computed, not measured: an optimized crystal structure of Re2AuSe at the PBE level of DFT.

For the density of states at the Fermi level, the calculation gives 0.71 states/eV/atom. Its formation energy without anion corrections is 0.505 eV/atom. The size of the total moment is 0.0 Bohr magnetons per cell.

The structure belongs to space group Pmm2 (No. 25); the cell edges are 2.887, 3.829 and 6.397 Å and the angles 90.00°, 90.00° and 90.00°. The inequivalent atoms are Re at (0.000, 0.000, 0.000), Re at (0.500, 0.500, 0.177), Au at (0.500, 0.500, 0.742) and Se at (0.000, 0.000, 0.395).


Copy entry 1 word for word.
Computed, not measured: an optimized crystal structure of TaSi2Se at the PBE level of DFT.

For the density of states at the Fermi level, the calculation gives 0.70 states/eV/atom. Its formation energy without anion corrections is -0.022 eV/atom. The size of the total moment is 0.0 Bohr magnetons per cell.

The structure belongs to space group P4mm (No. 99); the cell edges are 3.233, 3.233 and 7.150 Å and the angles 90.00°, 90.00° and 90.00°. The inequivalent atoms are Ta at (0.000, 0.000, 0.000), Si at (0.000, 0.000, 0.624), Si at (0.500, 0.500, 0.777) and Se at (0.500, 0.500, 0.205).